An optimized crystal structure of Pm2NdBi, computed with PBE.

Unit cell a=11.1521 b=11.1521 c=11.1521 alpha=20.98 beta=20.98 gamma=20.98
Fractional positions:
1 Pm 0.1034 0.1034 0.1034
2 Pm 0.8966 0.8966 0.8966
3 Nd 0.0000 0.0000 0.0000
4 Bi 0.5000 0.5000 0.5000

Properties
* ΔH_f (0 K): 0.0430 eV/atom
* magnetization: 0.365 μB/atom
* energy relative to the lowest polymorph listed for this composition: 498 meV per atom